(1)
Computed, not measured: a relaxed CuRuCl2 crystal at the GGA-PBE level of DFT.

Formation energy without anion corrections = 0.21 eV per atom
Theoretical density = 5.083 Mg/m³
Distance to the lowest polymorph of the same formula = 178 meV per atom
DOS(E_F) = 0.911 states/eV/f.u.

abc: 3.205 3.205 7.490
angles: 90.00 90.00 90.00
Positions (direct):
Cu 0.000 0.000 0.000
Ru 0.500 0.500 0.192
Cl 0.000 0.000 0.403
Cl 0.500 0.500 0.849



(2)
Computed, not measured: a relaxed Li2SmAl2Ga2 crystal at the GGA-PBE level of DFT.

ΔH_f (0 K) = -0.423 eV/atom
Theoretical density = 4.617 Mg/m³
DOS(E_F) = 1.301 states/eV/f.u.

abc: 7.554 4.351 8.211
angles: 90.00 107.57 90.00
Positions (direct):
Li 0.143 0.000 0.431
Li 0.357 0.500 0.569
Li 0.643 0.500 0.431
Li 0.857 0.000 0.569
Sm 0.000 0.000 0.000
Sm 0.500 0.500 0.000
Al 0.066 0.500 0.695
Al 0.434 0.000 0.305
Al 0.566 0.000 0.695
Al 0.934 0.500 0.305
Ga 0.240 0.500 0.222
Ga 0.260 0.000 0.778
Ga 0.740 0.000 0.222
Ga 0.760 0.500 0.778